HfTa3As | GGA-PBE | relaxed

Lattice parameters (Å, degrees): 4.9226 4.9226 4.9226 90.00 90.00 90.00
With the nearest neighbours (Å) after each atom.
Space group Pm-3m (No. 221)
Symmetry-distinct sites (fractional):
Hf: 0.0000 0.0000 0.0000 x1  6 Ta 2.46
Ta: 0.0000 0.0000 0.5000 x3  2 Hf 2.46
As: 0.5000 0.5000 0.5000 x1  12 Ta 3.48

- V (Å³/atom) = 23.9
- ΔE to the lowest computed polymorph (meV per atom) = 1335
- ΔE_f (meV per atom) = 1947
- D(E_F) (states/eV/f.u.) = 3.9
- total magnetization (μB per cell) = 0.0